Material: Cs3Sr2MoO6
Method: DFT, GGA+U
State: optimized geometry

Cell: 6.298 6.298 7.064 Å, 98.48 98.48 119.89°
Element x y z (fractional)
Mo: 0.000 0.000 0.000
O: 0.946 0.673 0.836
O: 0.222 0.222 0.826
O: 0.054 0.327 0.164
O: 0.778 0.778 0.174
O: 0.673 0.946 0.836
O: 0.327 0.054 0.164
Cs: 0.834 0.166 0.500
Cs: 0.166 0.834 0.500
Cs: 0.500 0.500 0.500
Sr: 0.335 0.665 0.000
Sr: 0.665 0.335 0.000

Summary:
Symmetry: C2/m (12)
Energy (eV/cell): -65.685